This record from the Alexandria database describes crystalline Nd2ThZr at its relaxed geometry. The functional is PBE.

a b c (Å): 4.893 4.893 5.150
angles (deg): 90.00 90.00 90.00
Space group P4/mmm (No. 123)
Inequivalent atoms, fractional coordinates:
Nd 0.000 0.500 0.000 [2 per cell]
Th 0.000 0.000 0.500 [1 per cell]
Zr 0.500 0.500 0.500 [1 per cell]

Final energy = -24.88 eV per cell



This record from the Alexandria database describes crystalline NdThZr2 at its relaxed geometry. The functional is PBE.

a b c (Å): 5.3558 5.3558 13.5079
angles (deg): 90.00 90.00 120.00
Space group R-3m (No. 166, hexagonal axes)
Inequivalent atoms, fractional coordinates:
Nd 0.0000 0.0000 0.0000 [3 per cell]
Th 0.0000 0.0000 0.5000 [3 per cell]
Zr 0.0000 0.0000 0.2304 [6 per cell]

Final energy = -85.54 eV per cell



This record from the Alexandria database describes crystalline Nd5Ti at its relaxed geometry. The functional is PBE.

a b c (Å): 4.986 15.229 5.005
angles (deg): 90.00 90.00 90.00
Space group Cmmm (No. 65)
Inequivalent atoms, fractional coordinates:
Nd 0.000 0.000 0.000 [2 per cell]
Nd 0.000 0.158 0.500 [4 per cell]
Nd 0.000 0.341 0.000 [4 per cell]
Ti 0.000 0.500 0.500 [2 per cell]

Final energy = -61.41 eV per cell



This record from the Alexandria database describes crystalline NdTi4 at its relaxed geometry. The functional is PBE.

a b c (Å): 4.828 4.828 4.828
angles (deg): 90.00 90.00 90.00
Space group Pm-3m (No. 221)
Inequivalent atoms, fractional coordinates:
Nd 0.000 0.000 0.000 [1 per cell]
Ti 0.000 0.000 0.500 [3 per cell]
Ti 0.500 0.500 0.500 [1 per cell]

Final energy = -29.23 eV per cell



This record from the Alexandria database describes crystalline Nd2TiTl at its relaxed geometry. The functional is PBE.

a b c (Å): 3.3625 3.3625 35.0991
angles (deg): 90.00 90.00 120.00
Space group R-3m (No. 166, hexagonal axes)
Inequivalent atoms, fractional coordinates:
Nd 0.0000 0.0000 0.0852 [6 per cell]
Ti 0.0000 0.0000 0.0000 [3 per cell]
Tl 0.0000 0.0000 0.5000 [3 per cell]

Final energy = -55.15 eV per cell



This record from the Alexandria database describes crystalline NdTm2Ti at its relaxed geometry. The functional is PBE.

a b c (Å): 3.368 3.368 9.771
angles (deg): 90.00 90.00 90.00
Space group P4/mmm (No. 123)
Inequivalent atoms, fractional coordinates:
Nd 0.000 0.000 0.000 [1 per cell]
Tm 0.500 0.500 0.289 [2 per cell]
Ti 0.000 0.000 0.500 [1 per cell]

Final energy = -21.03 eV per cell



This record from the Alexandria database describes crystalline NdTmTi at its relaxed geometry. The functional is PBE.

a b c (Å): 3.566 3.566 12.961
angles (deg): 90.00 90.00 90.00
Space group P4/nmm (No. 129, origin choice 2)
Inequivalent atoms, fractional coordinates:
Nd 0.250 0.250 0.101 [2 per cell]
Tm 0.250 0.250 0.692 [2 per cell]
Ti 0.250 0.250 0.457 [2 per cell]

Final energy = -33.79 eV per cell



This record from the Alexandria database describes crystalline NdTm2Ti at its relaxed geometry. The functional is PBE.

a b c (Å): 3.3523 3.3523 35.2283
angles (deg): 90.00 90.00 120.00
Space group R-3m (No. 166, hexagonal axes)
Inequivalent atoms, fractional coordinates:
Nd 0.0000 0.0000 0.0000 [3 per cell]
Tm 0.0000 0.0000 0.4174 [6 per cell]
Ti 0.0000 0.0000 0.5000 [3 per cell]

Final energy = -59.69 eV per cell



This record from the Alexandria database describes crystalline Nd2YTi at its relaxed geometry. The functional is PBE.

a b c (Å): 3.938 3.938 7.541
angles (deg): 90.00 90.00 90.00
Space group P4/mmm (No. 123)
Inequivalent atoms, fractional coordinates:
Nd 0.000 0.000 0.215 [2 per cell]
Y 0.500 0.500 0.500 [1 per cell]
Ti 0.500 0.500 0.000 [1 per cell]

Final energy = -22.98 eV per cell



This record from the Alexandria database describes crystalline NdY2Ti at its relaxed geometry. The functional is PBE.

a b c (Å): 3.3933 3.3933 35.6480
angles (deg): 90.00 90.00 120.00
Space group R-3m (No. 166, hexagonal axes)
Inequivalent atoms, fractional coordinates:
Nd 0.0000 0.0000 0.0000 [3 per cell]
Y 0.0000 0.0000 0.4176 [6 per cell]
Ti 0.0000 0.0000 0.5000 [3 per cell]

Final energy = -71.47 eV per cell



This record from the Alexandria database describes crystalline NdY2Ti at its relaxed geometry. The functional is PBE.

a b c (Å): 3.415 3.415 9.876
angles (deg): 90.00 90.00 90.00
Space group P4/mmm (No. 123)
Inequivalent atoms, fractional coordinates:
Nd 0.000 0.000 0.000 [1 per cell]
Y 0.500 0.500 0.288 [2 per cell]
Ti 0.000 0.000 0.500 [1 per cell]

Final energy = -24.92 eV per cell



This record from the Alexandria database describes crystalline NdZrTi2 at its relaxed geometry. The functional is PBE.

a b c (Å): 3.667 3.667 6.827
angles (deg): 90.00 90.00 90.00
Space group P4/mmm (No. 123)
Inequivalent atoms, fractional coordinates:
Nd 0.000 0.000 0.000 [1 per cell]
Zr 0.000 0.000 0.500 [1 per cell]
Ti 0.500 0.500 0.301 [2 per cell]

Final energy = -28.43 eV per cell



This record from the Alexandria database describes crystalline Nd7Tl5 at its relaxed geometry. The functional is PBE.

a b c (Å): 11.910 4.950 14.434
angles (deg): 90.00 111.46 90.00
Space group C2/m (No. 12)
Inequivalent atoms, fractional coordinates:
Nd 0.000 0.000 0.000 [2 per cell]
Nd 0.018 0.500 0.285 [4 per cell]
Nd 0.171 0.000 0.538 [4 per cell]
Nd 0.231 0.000 0.819 [4 per cell]
Tl 0.000 0.500 0.500 [2 per cell]
Tl 0.156 0.500 0.942 [4 per cell]
Tl 0.199 0.000 0.298 [4 per cell]

Final energy = -95.73 eV per cell



This record from the Alexandria database describes crystalline NdTl4 at its relaxed geometry. The functional is PBE.

a b c (Å): 5.139 6.772 16.771
angles (deg): 90.00 90.00 90.00
Space group Imma (No. 74)
Inequivalent atoms, fractional coordinates:
Nd 0.000 0.250 0.089 [4 per cell]
Tl 0.000 0.000 0.500 [4 per cell]
Tl 0.000 0.009 0.303 [8 per cell]
Tl 0.000 0.250 0.888 [4 per cell]

Final energy = -60.46 eV per cell